# LaZnIn2As

A relaxed LaZnIn2As crystal (GGA-PBEsol, Alexandria).

Cell lengths 5.2076, 5.2076, 5.6623 Å; angles 90.00, 90.00, 90.00 degrees
Closest atoms and distances in Å follow each position.
Sites, in units of the cell vectors:
La 0.0000 0.0000 0.0000  2 As 2.83
Zn 0.5000 0.5000 0.0000  4 La 3.68, 8 In 3.85
In 0.0000 0.5000 0.5000  2 As 2.60
In 0.5000 0.0000 0.5000  2 As 2.60
As 0.0000 0.0000 0.5000  4 In 2.60, 2 La 2.83

## Properties
As for the crystal system: tetragonal. As for the total energy: -17.25 eV per formula unit. The calculation puts the formation energy at 0.15 eV per atom. The value obtained for the density of states at the Fermi level is 0.81 states/eV/atom.



# LuVO4

A relaxed LuVO4 crystal (GGA-PBEsol, Alexandria).

Cell lengths 5.8070, 5.8070, 5.8070 Å; angles 106.31, 106.31, 115.99 degrees
Closest atoms and distances in Å follow each position.
Sites, in units of the cell vectors:
Lu 0.3750 0.6250 0.7500  8 O 2.22-2.38
Lu 0.6250 0.3750 0.2500  8 O 2.22-2.38
V 0.1250 0.8750 0.2500  4 O 1.71
V 0.8750 0.1250 0.7500  4 O 1.71
O 0.1351 0.6970 0.4381  1 V 1.71
O 0.2410 0.3030 0.9381  1 V 1.71
O 0.3030 0.2410 0.4381  1 V 1.71
O 0.3030 0.8649 0.0619  1 V 1.71
O 0.6970 0.1351 0.9381  1 V 1.71
O 0.6970 0.7590 0.5619  1 V 1.71
O 0.7590 0.6970 0.0619  1 V 1.71
O 0.8649 0.3030 0.5619  1 V 1.71

## Properties
As for the crystal system: tetragonal. Its relative energy among the computed polymorphs is 0.000 eV per formula unit. As for the total energy: -53.93 eV per formula unit. As for the raw formation energy: -296 kJ per mole of atoms. The value obtained for the density of states at the Fermi level is 0.00 states/eV/atom.



# Li2CuPb

A relaxed Li2CuPb crystal (GGA-PBEsol, Alexandria).

Cell lengths 3.9466, 3.9466, 4.2802 Å; angles 90.00, 90.00, 90.00 degrees
Closest atoms and distances in Å follow each position.
Sites, in units of the cell vectors:
Li 0.0000 0.5000 0.0000  4 Li 2.79, 4 Pb 2.91, 4 Cu 2.91
Li 0.5000 0.0000 0.0000  4 Li 2.79, 4 Pb 2.91, 4 Cu 2.91
Cu 0.0000 0.0000 0.5000  4 Pb 2.79, 8 Li 2.91
Pb 0.5000 0.5000 0.5000  4 Cu 2.79, 8 Li 2.91

## Properties
As for the crystal system: tetragonal. As for the total energy: -12.70 eV per formula unit. The calculation puts the formation energy at -0.11 eV per atom. The value obtained for the density of states at the Fermi level is 0.41 states/eV/atom.



# KZn2P

A relaxed KZn2P crystal (GGA-PBEsol, Alexandria).

Cell lengths 2.7701, 4.6637, 5.9335 Å; angles 90.00, 90.00, 90.00 degrees
Closest atoms and distances in Å follow each position.
Sites, in units of the cell vectors:
K 0.0000 0.0000 0.0000  2 K 2.77
Zn 0.5000 0.5000 0.2843  3 Zn 2.56-2.77, 2 P 2.66
Zn 0.5000 0.5000 0.7157  3 Zn 2.56-2.77, 2 P 2.66
P 0.5000 0.0000 0.5000  4 Zn 2.66, 2 P 2.77

## Properties
As for the crystal system: orthorhombic. As for the total energy: -9.37 eV per formula unit. The calculation puts the formation energy at 0.18 eV per atom. The value obtained for the density of states at the Fermi level is 0.29 states/eV/atom.